i) A plane-wave DFT calculation with PBE-GGA was carried out for an optimized crystal structure of LaPmCuAu.

The value obtained for the volume is 100 Å³/f.u. As for the magnetization: 0.000 μB per atom. The calculated density is 9.000 g cm⁻³. The density of states at the Fermi level comes out at 3.59 states/eV/f.u.

It has space group F-43m (No. 216), with a = 7.379 Å, b = 7.379 Å, c = 7.379 Å, α = 90.00°, β = 90.00° and γ = 90.00°. The inequivalent atoms are La at (0.000, 0.000, 0.000), Pm at (0.000, 0.000, 0.500), Cu at (0.250, 0.250, 0.250) and Au at (0.250, 0.250, 0.750).

***

ii) A plane-wave DFT calculation with PBE-GGA was carried out for an optimized crystal structure of LaPmCuAu.

The value obtained for the volume is 103 Å³/f.u. As for the magnetization: 0.000 μB per atom. The calculated density is 8.745 g cm⁻³. The density of states at the Fermi level comes out at 3.45 states/eV/f.u.

It has space group Amm2 (No. 38), with a = 4.666 Å, b = 3.938 Å, c = 11.252 Å, α = 90.00°, β = 90.00° and γ = 90.00°. The inequivalent atoms are La at (0.000, 0.000, 0.000), Pm at (0.500, 0.000, 0.723), Cu at (0.500, 0.000, 0.437) and Au at (0.000, 0.000, 0.284).

***

ii) (41 meV per atom below the next structure)

***

i) A plane-wave DFT calculation with PBE-GGA was carried out for an optimized crystal structure of LaPrCuAu.

The value obtained for the volume is 106 Å³/f.u. As for the magnetization: 0.000 μB per atom. The calculated density is 8.495 g cm⁻³. The density of states at the Fermi level comes out at 3.86 states/eV/f.u.

It has space group Amm2 (No. 38), with a = 4.710 Å, b = 4.011 Å, c = 11.181 Å, α = 90.00°, β = 90.00° and γ = 90.00°. The inequivalent atoms are La at (0.000, 0.000, 0.000), Pr at (0.500, 0.000, 0.722), Cu at (0.000, 0.000, 0.286) and Au at (0.500, 0.000, 0.436).

***

ii) A plane-wave DFT calculation with PBE-GGA was carried out for an optimized crystal structure of LaPrCuAu.

The value obtained for the volume is 103 Å³/f.u. As for the magnetization: 0.000 μB per atom. The calculated density is 8.749 g cm⁻³. The density of states at the Fermi level comes out at 3.46 states/eV/f.u.

It has space group F-43m (No. 216), with a = 7.430 Å, b = 7.430 Å, c = 7.430 Å, α = 90.00°, β = 90.00° and γ = 90.00°. The inequivalent atoms are La at (0.000, 0.000, 0.000), Pr at (0.000, 0.000, 0.500), Cu at (0.250, 0.250, 0.250) and Au at (0.250, 0.250, 0.750).

***

i) (44 meV per atom below the next structure)

***

i) A plane-wave DFT calculation with PBE-GGA was carried out for an optimized crystal structure of LaThCuAu.

The value obtained for the volume is 101 Å³/f.u. As for the magnetization: 0.013 μB per atom. The calculated density is 10.419 g cm⁻³. The density of states at the Fermi level comes out at 4.44 states/eV/f.u.

It has space group F-43m (No. 216), with a = 7.384 Å, b = 7.384 Å, c = 7.384 Å, α = 90.00°, β = 90.00° and γ = 90.00°. The inequivalent atoms are La at (0.000, 0.000, 0.000), Th at (0.000, 0.000, 0.500), Cu at (0.250, 0.250, 0.250) and Au at (0.250, 0.250, 0.750).

***

ii) A plane-wave DFT calculation with PBE-GGA was carried out for an optimized crystal structure of LaThCuAu.

The value obtained for the volume is 103 Å³/f.u. As for the magnetization: 0.000 μB per atom. The calculated density is 10.219 g cm⁻³. The density of states at the Fermi level comes out at 4.13 states/eV/f.u.

It has space group Amm2 (No. 38), with a = 4.546 Å, b = 3.918 Å, c = 11.522 Å, α = 90.00°, β = 90.00° and γ = 90.00°. The inequivalent atoms are La at (0.000, 0.000, 0.000), Th at (0.500, 0.000, 0.711), Cu at (0.000, 0.000, 0.272) and Au at (0.500, 0.000, 0.422).

***

ii) (66 meV per atom below the next structure)

***

i) A plane-wave DFT calculation with PBE-GGA was carried out for an optimized crystal structure of Li3CuAu.

The value obtained for the volume is 82 Å³/f.u. As for the magnetization: 0.000 μB per atom. The calculated density is 5.673 g cm⁻³. The density of states at the Fermi level comes out at 1.62 states/eV/f.u.

It has space group Pnma (No. 62), with a = 4.516 Å, b = 9.897 Å, c = 7.369 Å, α = 90.00°, β = 90.00° and γ = 90.00°. The inequivalent atoms are Li at (0.001, 0.090, 0.153), Li at (0.010, 0.250, 0.838), Cu at (0.006, 0.250, 0.441) and Au at (0.000, 0.000, 0.500).

***

ii) A plane-wave DFT calculation with PBE-GGA was carried out for an optimized crystal structure of Li3CuAu.

The value obtained for the volume is 92 Å³/f.u. As for the magnetization: 0.000 μB per atom. The calculated density is 5.075 g cm⁻³. The density of states at the Fermi level comes out at 2.71 states/eV/f.u.

It has space group Pm-3m (No. 221), with a = 4.515 Å, b = 4.515 Å, c = 4.515 Å, α = 90.00°, β = 90.00° and γ = 90.00°. The inequivalent atoms are Li at (0.000, 0.000, 0.500), Cu at (0.000, 0.000, 0.000) and Au at (0.500, 0.500, 0.500).

***

i) (330 meV per atom below the next structure)

***

i) A plane-wave DFT calculation with PBE-GGA was carried out for an optimized crystal structure of Li2CuAu2.

The value obtained for the volume is 74 Å³/f.u. As for the magnetization: 0.000 μB per atom. The calculated density is 10.529 g cm⁻³. The density of states at the Fermi level comes out at 0.90 states/eV/f.u.

It has space group P4/mbm (No. 127), with a = 7.133 Å, b = 7.133 Å, c = 2.922 Å, α = 90.00°, β = 90.00° and γ = 90.00°. The inequivalent atoms are Li at (0.127, 0.373, 0.000), Cu at (0.000, 0.000, 0.000) and Au at (0.172, 0.672, 0.500).

***

ii) A plane-wave DFT calculation with PBE-GGA was carried out for an optimized crystal structure of Li2CuAu2.

The value obtained for the volume is 82 Å³/f.u. As for the magnetization: 0.000 μB per atom. The calculated density is 9.559 g cm⁻³. The density of states at the Fermi level comes out at 1.50 states/eV/f.u.

It has space group P4/mbm (No. 127), with a = 6.830 Å, b = 6.830 Å, c = 3.511 Å, α = 90.00°, β = 90.00° and γ = 90.00°. The inequivalent atoms are Li at (0.157, 0.343, 0.000), Cu at (0.000, 0.000, 0.500) and Au at (0.147, 0.647, 0.500).

***

iii) A plane-wave DFT calculation with PBE-GGA was carried out for an optimized crystal structure of Li2CuAu2.

The value obtained for the volume is 76 Å³/f.u. As for the magnetization: 0.000 μB per atom. The calculated density is 10.285 g cm⁻³. The density of states at the Fermi level comes out at 1.29 states/eV/f.u.

It has space group C2/c (No. 15), with a = 9.707 Å, b = 4.595 Å, c = 7.254 Å, α = 90.00°, β = 109.81° and γ = 90.00°. The inequivalent atoms are Li at (0.197, 0.180, 0.151), Cu at (0.000, 0.192, 0.750) and Au at (0.101, 0.310, 0.454).

***

iii) (78 meV per atom below the next structure)

***

i) A plane-wave DFT calculation with PBE-GGA was carried out for an optimized crystal structure of LiCu2Au.

The value obtained for the volume is 56 Å³/f.u. As for the magnetization: 0.000 μB per atom. The calculated density is 9.812 g cm⁻³. The density of states at the Fermi level comes out at 1.44 states/eV/f.u.

It has space group P4/mmm (No. 123), with a = 3.169 Å, b = 3.169 Å, c = 5.579 Å, α = 90.00°, β = 90.00° and γ = 90.00°. The inequivalent atoms are Li at (0.000, 0.000, 0.000), Cu at (0.500, 0.500, 0.233) and Au at (0.000, 0.000, 0.500).

***

ii) A plane-wave DFT calculation with PBE-GGA was carried out for an optimized crystal structure of LiCu2Au.

The value obtained for the volume is 55 Å³/f.u. As for the magnetization: 0.000 μB per atom. The calculated density is 9.949 g cm⁻³. The density of states at the Fermi level comes out at 1.74 states/eV/f.u.

It has space group Pmm2 (No. 25), with a = 2.730 Å, b = 3.731 Å, c = 5.425 Å, α = 90.00°, β = 90.00° and γ = 90.00°. The inequivalent atoms are Li at (0.000, 0.000, 0.000), Cu at (0.000, 0.000, 0.529), Cu at (0.500, 0.500, 0.745) and Au at (0.500, 0.500, 0.248).

***

ii) (99 meV per atom below the next structure)

***

i) A plane-wave DFT calculation with PBE-GGA was carried out for an optimized crystal structure of LiCuAu6.

The value obtained for the volume is 134 Å³/f.u. As for the magnetization: 0.000 μB per atom. The calculated density is 15.495 g cm⁻³. The density of states at the Fermi level comes out at 3.57 states/eV/f.u.

It has space group P4/mmm (No. 123), with a = 4.056 Å, b = 4.056 Å, c = 8.156 Å, α = 90.00°, β = 90.00° and γ = 90.00°. The inequivalent atoms are Li at (0.000, 0.000, 0.000), Cu at (0.000, 0.000, 0.500), Au at (0.000, 0.500, 0.251), Au at (0.500, 0.500, 0.000) and Au at (0.500, 0.500, 0.500).

***

ii) A plane-wave DFT calculation with PBE-GGA was carried out for an optimized crystal structure of LiCuAu6.

The value obtained for the volume is 152 Å³/f.u. As for the magnetization: 0.000 μB per atom. The calculated density is 13.680 g cm⁻³. The density of states at the Fermi level comes out at 1.45 states/eV/f.u.

It has space group C2/m (No. 12), with a = 7.899 Å, b = 5.485 Å, c = 7.471 Å, α = 90.00°, β = 110.07° and γ = 90.00°. The inequivalent atoms are Li at (0.000, 0.000, 0.000), Cu at (0.000, 0.500, 0.500), Au at (0.149, 0.000, 0.439) and Au at (0.191, 0.248, 0.803).

***

i) (109 meV per atom below the next structure)

***

i) A plane-wave DFT calculation with PBE-GGA was carried out for an optimized crystal structure of Li8CuAu2.

The value obtained for the volume is 205 Å³/f.u. As for the magnetization: 0.000 μB per atom. The calculated density is 4.159 g cm⁻³. The density of states at the Fermi level comes out at 3.99 states/eV/f.u.

It has space group C2/m (No. 12), with a = 9.915 Å, b = 9.178 Å, c = 4.658 Å, α = 90.00°, β = 104.87° and γ = 90.00°. The inequivalent atoms are Li at (0.075, 0.000, 0.299), Li at (0.110, 0.258, 0.834), Li at (0.144, 0.500, 0.518), Cu at (0.000, 0.500, 0.000) and Au at (0.227, 0.000, 0.903).

***

ii) A plane-wave DFT calculation with PBE-GGA was carried out for an optimized crystal structure of Li8CuAu2.

The value obtained for the volume is 180 Å³/f.u. As for the magnetization: 0.000 μB per atom. The calculated density is 4.742 g cm⁻³. The density of states at the Fermi level comes out at 3.34 states/eV/f.u.

It has space group Immm (No. 71), with a = 4.319 Å, b = 6.750 Å, c = 12.322 Å, α = 90.00°, β = 90.00° and γ = 90.00°. The inequivalent atoms are Li at (0.000, 0.000, 0.154), Li at (0.000, 0.218, 0.351), Li at (0.000, 0.302, 0.000), Cu at (0.000, 0.500, 0.500) and Au at (0.000, 0.500, 0.195).

***

ii) (67 meV per atom below the next structure)